# DyEr5Ru3

A geometry-optimized DyEr5Ru3 structure (GGA-PBE, Alexandria). Values from VASP.

Computed properties:
Theoretical density ... 8701 kg/m³
Magnetic moment ... 0.0000 μB per atom
Space group ... C2/m, No. 12
Formation energy ... -2.08 eV/f.u.

```
&SYSTEM
  ibrav = 0, nat = 18, ntyp = 3
/
ATOMIC_SPECIES
Dy 162.50 Dy.upf
Er 167.26 Er.upf
Ru 101.07 Ru.upf
ATOMIC_POSITIONS crystal
Dy 0.1017 0.1017 0.3001
Dy 0.8983 0.8983 0.6999
Er 0.0333 0.6348 0.3321
Er 0.2328 0.2328 0.0334
Er 0.3014 0.6986 0.0000
Er 0.3652 0.9667 0.6679
Er 0.4324 0.4324 0.6319
Er 0.5676 0.5676 0.3681
Er 0.6348 0.0333 0.3321
Er 0.6986 0.3014 0.0000
Er 0.7672 0.7672 0.9666
Er 0.9667 0.3652 0.6679
Ru 0.0000 0.0000 0.0000
Ru 0.0000 0.0000 0.5000
Ru 0.3330 0.3330 0.8331
Ru 0.3350 0.3350 0.3323
Ru 0.6650 0.6650 0.6677
Ru 0.6670 0.6670 0.1669
CELL_PARAMETERS angstrom
6.0976 -4.4740 0.0000
6.0976 4.4740 0.0000
-3.8032 0.0000 9.1081
```